1.
VASP calculation (PBE-GGA) on a geometry-optimized Nd2BeGa4Cu3 structure.

```
Nd2BeGa4Cu3
1.0
-2.493 -3.367 0.334
0.946 -1.092 -3.947
7.750 -5.405 3.353
Nd Ga Cu Be
2 4 3 1
direct
0.500 0.000 0.258
0.000 0.500 0.742
0.000 0.000 0.000
0.500 0.500 0.000
0.000 0.500 0.376
0.500 0.000 0.624
0.500 0.000 0.866
0.000 0.500 0.134
0.000 0.000 0.500
0.500 0.500 0.500
```

Values from the calculation:
DFT total energy = -4.181 eV per atom
Size of the total moment = 0.000 μB per formula unit
Symmetry = P-4m2
Energy relative to the elements = -0.41 eV per atom

=====

2.
VASP calculation (PBE-GGA) on a geometry-optimized YHgS3 structure.

```
YHgS3
1.0
-2.900 2.879 2.745
-0.957 -3.803 2.977
3.861 1.220 2.800
Hg S Y
1 3 1
direct
0.000 0.000 0.000
0.000 0.000 0.500
0.000 0.500 0.000
0.500 0.000 0.000
0.500 0.500 0.500
```

Values from the calculation:
DFT total energy = -3.996 eV per atom
Size of the total moment = 0.000 μB per formula unit
Symmetry = Pm-3m
Formation energy without anion corrections = -0.17 eV/atom

=====

3.
VASP calculation (PBE-GGA) on a geometry-optimized RbFeN2 structure.

```
RbFeN2
1.0
2.083 0.000 7.271
-1.041 1.804 7.271
-1.041 -1.804 7.271
N Fe Rb
2 1 1
direct
0.924 0.924 0.924
0.076 0.076 0.076
0.000 0.000 0.000
0.500 0.500 0.500
```

Values from the calculation:
DFT total energy = -5.233 eV per atom
Size of the total moment = 0.000 μB per formula unit
Symmetry = R-3m
Formation energy without anion corrections = 1.29 eV/atom

=====

4.
VASP calculation (PBE-GGA) on a geometry-optimized MgSeCl structure.

```
MgSeCl
1.0
3.483 0.000 0.000
-1.741 3.016 0.000
0.000 0.000 7.474
Se Cl Mg
1 1 1
direct
0.667 0.333 0.564
0.000 0.000 0.122
0.333 0.667 0.314
```

Values from the calculation:
DFT total energy = -3.393 eV per atom
Size of the total moment = 0.000 μB per formula unit
Symmetry = P3m1
Formation energy without anion corrections = -1.08 eV/atom

=====

5.
VASP calculation (PBE-GGA) on a geometry-optimized BaSiRh structure.

```
BaSiRh
1.0
-4.066 -1.348 -2.131
-2.850 -3.218 2.101
-4.215 1.358 1.811
Rh Si Ba
1 1 1
direct
0.250 0.250 0.250
0.000 0.000 0.000
0.500 0.500 0.500
```

Values from the calculation:
DFT total energy = -4.777 eV per atom
Size of the total moment = 0.000 μB per formula unit
Symmetry = F-43m
Formation energy without anion corrections = 0.12 eV/atom

=====

6.
VASP calculation (PBE-GGA) on a geometry-optimized MnV2Pd7 structure.

```
MnV2Pd7
1.0
-0.895 -2.494 -0.672
4.369 0.416 -7.363
3.390 -3.158 7.212
Pd V Mn
7 2 1
direct
0.500 0.128 0.326
0.000 0.197 0.803
0.000 0.803 0.197
0.500 0.872 0.674
0.500 0.674 0.872
0.500 0.500 0.500
0.500 0.326 0.128
0.500 0.335 0.665
0.500 0.665 0.335
0.000 0.000 0.000
```

Values from the calculation:
DFT total energy = -6.171 eV per atom
Size of the total moment = 6.076 μB per formula unit
Symmetry = Cmmm
Energy relative to the elements = 0.20 eV per atom

=====

7.
VASP calculation (PBE-GGA) on a geometry-optimized Sc2ZnBr2 structure.

```
Sc2ZnBr2
1.0
-2.505 3.769 0.234
-2.702 -1.985 3.048
1.036 3.025 6.255
Sc Br Zn
2 2 1
direct
0.614 0.614 0.772
0.386 0.386 0.228
0.250 0.750 0.500
0.750 0.250 0.500
0.000 0.000 0.000
```

Values from the calculation:
DFT total energy = -3.910 eV per atom
Size of the total moment = 1.305 μB per formula unit
Symmetry = I4/mmm
Formation energy without anion corrections = -0.45 eV/atom

=====

8.
VASP calculation (PBE-GGA) on a geometry-optimized Ce2SiHg structure.

```
Ce2SiHg
1.0
4.146 0.000 0.000
0.000 4.896 0.000
0.000 0.000 4.896
Ce Si Hg
2 1 1
direct
0.000 0.500 0.000
0.000 0.000 0.500
0.500 0.000 0.000
0.500 0.500 0.500
```

Values from the calculation:
DFT total energy = -4.755 eV per atom
Size of the total moment = 1.840 μB per formula unit
Symmetry = P4/mmm
Formation energy without anion corrections = -0.36 eV/atom

=====

9.
VASP calculation (PBE-GGA) on a geometry-optimized BeBiAs2Br structure.

```
BeBiAs2Br
1.0
5.547 0.000 0.000
0.000 5.547 0.000
0.000 0.000 5.720
Br As Be Bi
1 2 1 1
direct
0.000 0.000 0.500
0.000 0.500 0.000
0.500 0.000 0.000
0.500 0.500 0.500
0.000 0.000 0.000
```

Values from the calculation:
DFT total energy = -2.500 eV per atom
Size of the total moment = 1.775 μB per formula unit
Symmetry = P4/mmm
Formation energy without anion corrections = 1.22 eV/atom

=====

10.
VASP calculation (PBE-GGA) on a geometry-optimized BeCdAu5 structure.

```
BeCdAu5
1.0
4.122 0.000 0.000
0.000 4.122 0.000
0.000 0.000 7.217
Au Cd Be
5 1 1
direct
0.500 0.000 0.804
0.000 0.500 0.196
0.500 0.500 0.500
0.000 0.500 0.804
0.500 0.000 0.196
0.000 0.000 0.500
0.500 0.500 0.000
```

Values from the calculation:
DFT total energy = -3.131 eV per atom
Size of the total moment = 0.000 μB per formula unit
Symmetry = P4/mmm
Energy relative to the elements = -0.13 eV per atom

=====

11.
VASP calculation (PBE-GGA) on a geometry-optimized KAl2Rh structure.

```
KAl2Rh
1.0
0.000 3.333 3.333
3.333 0.000 3.333
3.333 3.333 0.000
Al Rh K
2 1 1
direct
0.250 0.250 0.250
0.750 0.750 0.750
0.500 0.500 0.500
0.000 0.000 0.000
```

Values from the calculation:
DFT total energy = -3.716 eV per atom
Size of the total moment = 0.000 μB per formula unit
Symmetry = Fm-3m
Energy relative to the elements = 0.27 eV per atom

=====

12.
VASP calculation (PBE-GGA) on a geometry-optimized FeAsSe2I structure.

```
FeAsSe2I
1.0
-3.854 2.315 -3.151
1.437 -2.513 -3.603
-3.518 -3.984 1.376
Fe Se I As
1 2 1 1
direct
0.000 0.500 0.000
0.000 0.000 0.500
0.500 0.000 0.000
0.000 0.000 0.000
0.500 0.500 0.500
```

Values from the calculation:
DFT total energy = -2.828 eV per atom
Size of the total moment = 0.231 μB per formula unit
Symmetry = P4/mmm
Formation energy without anion corrections = 1.50 eV/atom

=====

13.
VASP calculation (PBE-GGA) on a geometry-optimized ZrScTlCd structure.

```
ZrScTlCd
1.0
5.022 0.000 0.000
2.511 4.349 0.000
2.511 1.450 4.100
Sc Tl Zr Cd
1 1 1 1
direct
0.750 0.750 0.750
0.500 0.500 0.500
0.250 0.250 0.250
0.000 0.000 0.000
```

Values from the calculation:
DFT total energy = -4.684 eV per atom
Size of the total moment = 0.000 μB per formula unit
Symmetry = F-43m
Energy relative to the elements = -0.14 eV per atom

=====

14.
VASP calculation (PBE-GGA) on a geometry-optimized LaNbBi2Os structure.

```
LaNbBi2Os
1.0
-3.373 -4.175 1.094
3.076 -3.079 -2.264
2.613 -0.871 4.735
La Bi Os Nb
1 2 1 1
direct
0.500 0.500 0.500
0.000 0.000 0.500
0.500 0.000 0.000
0.000 0.000 0.000
0.000 0.500 0.000
```

Values from the calculation:
DFT total energy = -6.198 eV per atom
Size of the total moment = 2.470 μB per formula unit
Symmetry = P4/mmm
Energy relative to the elements = 0.60 eV per atom

=====

15.
VASP calculation (PBE-GGA) on a geometry-optimized SrLiCoSi structure.

```
SrLiCoSi
1.0
3.920 0.000 0.000
0.000 3.920 0.000
0.000 0.000 11.833
Li Si Co Sr
2 2 2 2
direct
0.750 0.250 0.500
0.250 0.750 0.500
0.750 0.750 0.904
0.250 0.250 0.096
0.750 0.250 0.000
0.250 0.750 0.000
0.250 0.250 0.769
0.750 0.750 0.231
```

Values from the calculation:
DFT total energy = -4.340 eV per atom
Size of the total moment = 0.000 μB per formula unit
Symmetry = P4/nmm
Formation energy without anion corrections = -0.31 eV/atom

=====

16.
VASP calculation (PBE-GGA) on a geometry-optimized CsNpCdCl6 structure.

```
CsNpCdCl6
1.0
10.138 0.000 0.000
0.000 9.586 0.000
-5.069 -4.793 7.100
Cl Cs Np Cd
12 2 2 2
direct
0.175 0.925 0.351
0.437 0.667 0.261
0.563 0.906 0.739
0.563 0.313 0.126
0.825 0.075 0.649
0.437 0.687 0.874
0.563 0.333 0.739
0.824 0.667 0.261
0.176 0.333 0.739
0.176 0.906 0.739
0.437 0.094 0.261
0.824 0.094 0.261
0.195 0.445 0.389
0.805 0.555 0.611
0.000 0.000 0.500
0.500 0.000 0.500
0.500 0.000 0.000
0.500 0.500 0.000
```

Values from the calculation:
DFT total energy = -4.413 eV per atom
Size of the total moment = 4.000 μB per formula unit
Symmetry = Imma
Formation energy without anion corrections = -1.55 eV/atom

=====

17.
VASP calculation (PBE-GGA) on a geometry-optimized AcGa2GeRh structure.

```
AcGa2GeRh
1.0
4.392 0.000 0.000
0.000 4.281 0.000
-2.196 -2.140 5.484
Ac Ga Rh Ge
1 2 1 1
direct
0.440 0.440 0.879
0.688 0.188 0.376
0.066 0.066 0.133
0.197 0.697 0.394
0.821 0.821 0.642
```

Values from the calculation:
DFT total energy = -5.045 eV per atom
Size of the total moment = 0.000 μB per formula unit
Symmetry = Imm2
Energy relative to the elements = -0.62 eV per atom

=====

18.
VASP calculation (PBE-GGA) on a geometry-optimized K4Rb2Hg structure.

```
K4Rb2Hg
1.0
7.239 0.000 2.414
3.620 11.017 1.207
0.134 0.000 11.659
K Rb Hg
8 4 2
direct
0.591 0.726 0.092
0.183 0.726 0.908
0.317 0.092 0.274
0.683 0.908 0.726
0.909 0.908 0.274
0.091 0.092 0.726
0.817 0.274 0.092
0.409 0.274 0.908
0.111 0.500 0.279
0.611 0.279 0.500
0.889 0.500 0.721
0.389 0.721 0.500
0.250 0.000 0.000
0.750 0.000 0.000
```

Values from the calculation:
DFT total energy = -1.014 eV per atom
Size of the total moment = 0.000 μB per formula unit
Symmetry = I4/mcm
Energy relative to the elements = -0.07 eV per atom

=====

19.
VASP calculation (PBE-GGA) on a geometry-optimized Sc2TcAs structure.

```
Sc2TcAs
1.0
-2.977 -1.434 -1.617
2.127 -1.458 -2.624
0.584 -4.675 3.072
Tc As Sc
1 1 2
direct
0.000 0.000 0.453
0.500 0.500 0.792
0.000 0.000 0.962
0.500 0.500 0.293
```

Values from the calculation:
DFT total energy = -7.188 eV per atom
Size of the total moment = 0.000 μB per formula unit
Symmetry = P4mm
Energy relative to the elements = -0.27 eV per atom

=====

20.
VASP calculation (PBE-GGA) on a geometry-optimized CeSn3Hg structure.

```
CeSn3Hg
1.0
6.267 2.372 0.116
2.067 5.363 -2.839
0.099 -0.583 6.521
Sn Hg Ce
3 1 1
direct
0.000 0.500 0.500
0.000 0.000 0.500
0.000 0.500 0.000
0.500 0.000 0.000
0.000 0.000 0.000
```

Values from the calculation:
DFT total energy = -3.619 eV per atom
Size of the total moment = 1.204 μB per formula unit
Symmetry = C2/m
Energy relative to the elements = 0.03 eV per atom

=====

21.
VASP calculation (PBE-GGA) on a geometry-optimized LiTb2Rh structure.

```
LiTb2Rh
1.0
-1.715 0.145 3.195
0.150 -4.864 0.301
4.294 0.274 2.293
Tb Li Rh
2 1 1
direct
0.000 0.000 0.500
0.000 0.500 0.000
0.500 0.000 0.000
0.500 0.500 0.500
```

Values from the calculation:
DFT total energy = -5.029 eV per atom
Size of the total moment = 0.000 μB per formula unit
Symmetry = P4/mmm
Energy relative to the elements = -0.40 eV per atom

=====

22.
VASP calculation (PBE-GGA) on a geometry-optimized Pr2CdIr structure.

```
Pr2CdIr
1.0
4.159 0.000 0.000
2.080 3.602 0.000
2.080 1.201 8.135
Cd Ir Pr
1 1 2
direct
0.500 0.500 0.500
0.000 0.000 0.000
0.268 0.268 0.195
0.732 0.732 0.805
```

Values from the calculation:
DFT total energy = -5.245 eV per atom
Size of the total moment = 0.000 μB per formula unit
Symmetry = R-3m
Energy relative to the elements = -0.41 eV per atom

=====

23.
VASP calculation (PBE-GGA) on a geometry-optimized Ta5Sb structure.

```
Ta5Sb
1.0
1.420 -8.126 0.000
1.420 8.126 0.000
0.000 0.000 4.957
Ta Sb
5 1
direct
0.104 0.896 0.500
0.768 0.232 0.500
0.678 0.322 0.000
0.435 0.565 0.500
0.343 0.657 0.000
0.006 0.994 0.000
```

Values from the calculation:
DFT total energy = -10.323 eV per atom
Size of the total moment = 0.000 μB per formula unit
Symmetry = Amm2
Formation energy without anion corrections = 0.24 eV/atom

=====

24.
VASP calculation (PBE-GGA) on a geometry-optimized Ti3Al2Ga structure.

```
Ti3Al2Ga
1.0
-0.639 -2.864 -2.693
5.547 -1.635 -2.534
0.326 -8.459 3.034
Al Ti Ga
4 6 2
direct
0.500 0.000 0.500
0.167 0.666 0.500
0.833 0.334 0.500
0.000 0.000 0.000
0.920 0.666 0.247
0.414 0.666 0.753
0.080 0.334 0.753
0.251 0.000 0.249
0.586 0.334 0.247
0.749 0.000 0.751
0.664 0.672 0.000
0.336 0.328 0.000
```

Values from the calculation:
DFT total energy = -6.128 eV per atom
Size of the total moment = 0.000 μB per formula unit
Symmetry = P2/m
Energy relative to the elements = -0.43 eV per atom

=====

25.
VASP calculation (PBE-GGA) on a geometry-optimized LiNb2Au2 structure.

```
LiNb2Au2
1.0
8.317 0.000 0.000
0.000 8.317 0.000
0.000 0.000 2.815
Li Nb Au
2 4 4
direct
0.000 0.000 0.000
0.500 0.500 0.000
0.882 0.618 0.000
0.118 0.382 0.000
0.382 0.882 0.000
0.618 0.118 0.000
0.676 0.824 0.500
0.176 0.676 0.500
0.824 0.324 0.500
0.324 0.176 0.500
```

Values from the calculation:
DFT total energy = -5.673 eV per atom
Size of the total moment = 0.000 μB per formula unit
Symmetry = P4/mbm
Energy relative to the elements = 0.05 eV per atom

=====

26.
VASP calculation (PBE-GGA) on a geometry-optimized Cu4AsPb structure.

```
Cu4AsPb
1.0
0.000 3.617 3.617
3.617 0.000 3.617
3.617 3.617 0.000
Pb As Cu
1 1 4
direct
0.750 0.750 0.750
0.000 0.000 0.000
0.375 0.876 0.375
0.876 0.375 0.375
0.375 0.375 0.876
0.375 0.375 0.375
```

Values from the calculation:
DFT total energy = -3.955 eV per atom
Size of the total moment = 0.000 μB per formula unit
Symmetry = F-43m
Energy relative to the elements = 0.17 eV per atom